[1]
Entry from Alexandria: Er4InAg2Pd after structural relaxation (PBE-GGA).

Cell and atoms, written as CIF:
```
data_Er4InAg2Pd
_chemical_formula_sum 'Er12 In3 Ag6 Pd3'
_symmetry_space_group_name_H-M 'R -3 m'
_symmetry_Int_Tables_number 166
_symmetry_space_group_name_Hall '-R 3 2"'
_cell_length_a 5.1051
_cell_length_b 5.1051
_cell_length_c 24.9204
_cell_angle_alpha 90.00
_cell_angle_beta 90.00
_cell_angle_gamma 120.00
loop_
_atom_site_label
_atom_site_fract_x
_atom_site_fract_y
_atom_site_fract_z
Er1 0.0000 0.0000 0.1176
Er2 0.0000 0.0000 0.3695
In1 0.0000 0.0000 0.5000
Ag1 0.0000 0.0000 0.2431
Pd1 0.0000 0.0000 0.0000
```

crystal system: trigonal
formation enthalpy at 0 K: -516 meV/atom
DOS at the Fermi energy: 0.73 states/eV/atom

***

[2]
Entry from Alexandria: Zr2TaRe after structural relaxation (PBE-GGA).

Cell and atoms, written as CIF:
```
data_Zr2TaRe
_chemical_formula_sum 'Zr8 Ta4 Re4'
_symmetry_space_group_name_H-M 'I -4 2 d'
_symmetry_Int_Tables_number 122
_symmetry_space_group_name_Hall 'I -4 2bw'
_cell_length_a 7.651
_cell_length_b 7.651
_cell_length_c 5.644
_cell_angle_alpha 90.00
_cell_angle_beta 90.00
_cell_angle_gamma 90.00
loop_
_atom_site_label
_atom_site_fract_x
_atom_site_fract_y
_atom_site_fract_z
Zr1 0.222 0.250 0.125
Ta1 0.000 0.000 0.500
Re1 0.000 0.000 0.000
```

crystal system: tetragonal
formation enthalpy at 0 K: 564 meV/atom
ΔE to the lowest computed polymorph: 696 meV/atom
DOS at the Fermi energy: 1.10 states/eV/atom

***

[3]
Entry from Alexandria: ScZnAg2 after structural relaxation (PBE-GGA).

Cell and atoms, written as CIF:
```
data_ScZnAg2
_chemical_formula_sum 'Sc4 Zn4 Ag8'
_symmetry_space_group_name_H-M 'I -4 2 d'
_symmetry_Int_Tables_number 122
_symmetry_space_group_name_Hall 'I -4 2bw'
_cell_length_a 4.026
_cell_length_b 4.026
_cell_length_c 19.551
_cell_angle_alpha 90.00
_cell_angle_beta 90.00
_cell_angle_gamma 90.00
loop_
_atom_site_label
_atom_site_fract_x
_atom_site_fract_y
_atom_site_fract_z
Sc1 0.000 0.000 0.000
Zn1 0.000 0.000 0.500
Ag1 0.236 0.250 0.625
```

crystal system: tetragonal
formation enthalpy at 0 K: 78 meV/atom
DOS at the Fermi energy: 1.60 states/eV/atom